# 1
DFT (PBE-GGA) results for Mg2MnAg after structural relaxation.

Cell: 10.4514 3.3124 4.6784 Å, 90.00 114.79 90.00°
Last column: nearest neighbours and their distance in Å.
Positions (direct):
1 Mg 0.0000 0.0000 0.0000  2 Ag 2.84, 4 Mn 2.87-2.88, 3 Mg 3.06-3.16
2 Mg 0.2291 0.0000 0.7243  4 Ag 2.86-2.88, 2 Mn 2.91, 3 Mg 3.06-3.16
3 Mg 0.5000 0.5000 0.0000  2 Ag 2.84, 4 Mn 2.87-2.88, 3 Mg 3.06-3.16
4 Mg 0.7291 0.5000 0.7243  4 Ag 2.86-2.88, 2 Mn 2.91, 3 Mg 3.06-3.16
5 Mn 0.4765 0.0000 0.4766  2 Ag 2.76, 6 Mg 2.87-2.91
6 Mn 0.9765 0.5000 0.4766  2 Ag 2.76, 6 Mg 2.87-2.91
7 Ag 0.2436 0.5000 0.2393  2 Mn 2.76, 6 Mg 2.84-2.88
8 Ag 0.7436 0.0000 0.2393  2 Mn 2.76, 6 Mg 2.84-2.88

Summary:
Energy relative to the elements   0.0860 eV/atom
Fermi-level density of states   0.40 states/eV per atom
SG   No. 8

# 2
DFT (PBE-GGA) results for Mg2MnAg after structural relaxation.

Cell: 9.5208 2.9772 5.2767 Å, 90.00 99.10 90.00°
Last column: nearest neighbours and their distance in Å.
Positions (direct):
1 Mg 0.2491 0.0000 0.2508  3 Mn 2.89-2.94, 3 Ag 2.91-2.93, 6 Mg 2.98-3.04
2 Mg 0.2509 0.5000 0.7492  3 Mn 2.89-2.94, 3 Ag 2.91-2.93, 6 Mg 2.98-3.04
3 Mg 0.7491 0.5000 0.2508  3 Mn 2.89-2.94, 3 Ag 2.91-2.93, 6 Mg 2.98-3.04
4 Mg 0.7509 0.0000 0.7492  3 Mn 2.89-2.94, 3 Ag 2.91-2.93, 6 Mg 2.98-3.04
5 Mn 0.0000 0.0000 0.5000  6 Mg 2.89-2.94, 2 Mn 2.98, 4 Ag 3.03
6 Mn 0.5000 0.5000 0.5000  6 Mg 2.89-2.94, 2 Mn 2.98, 4 Ag 3.03
7 Ag 0.0000 0.5000 0.0000  6 Mg 2.91-2.93, 2 Ag 2.98, 4 Mn 3.03
8 Ag 0.5000 0.0000 0.0000  6 Mg 2.91-2.93, 2 Ag 2.98, 4 Mn 3.03

Summary:
Energy relative to the elements   0.1444 eV/atom
Fermi-level density of states   0.57 states/eV per atom
SG   No. 12

# 3
DFT (PBE-GGA) results for MgMnAg3 after structural relaxation.

Cell: 4.9497 4.9497 4.9497 Å, 90.00 90.00 90.00°
Last column: nearest neighbours and their distance in Å.
Positions (direct):
1 Mg 0.0000 0.0000 0.0000  12 Ag 3.50
2 Mn 0.5000 0.5000 0.5000  6 Ag 2.47
3 Ag 0.0000 0.5000 0.5000  2 Mn 2.47
4 Ag 0.5000 0.0000 0.5000  2 Mn 2.47
5 Ag 0.5000 0.5000 0.0000  2 Mn 2.47

Summary:
Energy relative to the elements   0.7219 eV/atom
Excess energy over the best structure of this formula in the dataset   0 meV/atom
Fermi-level density of states   0.47 states/eV per atom
SG   No. 221

# 4
DFT (PBE-GGA) results for Mg5MnAg6 after structural relaxation.

Cell: 8.0656 8.0656 8.0656 Å, 146.62 130.38 61.13°
Last column: nearest neighbours and their distance in Å.
Positions (direct):
1 Mg 0.0000 0.0000 0.0000  8 Ag 2.85-2.90
2 Mg 0.1664 0.6664 0.5000  8 Ag 2.88-2.89
3 Mg 0.3338 0.3338 0.0000  8 Ag 2.84-2.91
4 Mg 0.6662 0.6662 0.0000  8 Ag 2.84-2.91
5 Mg 0.8336 0.3336 0.5000  8 Ag 2.88-2.89
6 Mn 0.5000 0.0000 0.5000  8 Ag 2.83-2.84
7 Ag 0.0880 0.8356 0.2524  1 Mn 2.83, 7 Mg 2.85-2.91
8 Ag 0.2567 0.5000 0.7567  6 Mg 2.84-2.90, 2 Mn 2.84
9 Ag 0.4168 0.1644 0.2524  1 Mn 2.83, 7 Mg 2.85-2.91
10 Ag 0.5832 0.8356 0.7476  1 Mn 2.83, 7 Mg 2.85-2.91
11 Ag 0.7433 0.5000 0.2433  6 Mg 2.84-2.90, 2 Mn 2.84
12 Ag 0.9120 0.1644 0.7476  1 Mn 2.83, 7 Mg 2.85-2.91

Summary:
Energy relative to the elements   -0.1454 eV/atom
Fermi-level density of states   0.36 states/eV per atom
SG   No. 71

# 5
DFT (PBE-GGA) results for Mg2MnAg after structural relaxation.

Cell: 3.3534 3.3534 6.6827 Å, 90.00 90.00 90.00°
Last column: nearest neighbours and their distance in Å.
Positions (direct):
1 Mg 0.0000 0.0000 0.0000  4 Ag 2.87, 1 Mn 3.08, 4 Mg 3.10
2 Mg 0.5000 0.5000 0.2984  4 Mn 2.87, 1 Ag 3.08, 4 Mg 3.10
3 Mn 0.0000 0.0000 0.5393  4 Ag 2.79, 5 Mg 2.87-3.08
4 Ag 0.5000 0.5000 0.7592  4 Mn 2.79, 5 Mg 2.87-3.08

Summary:
Energy relative to the elements   0.0989 eV/atom
Fermi-level density of states   0.58 states/eV per atom
SG   No. 99

# 6
DFT (PBE-GGA) results for Mg2MnAg after structural relaxation.

Cell: 6.4607 6.4919 3.4305 Å, 90.00 90.00 90.00°
Last column: nearest neighbours and their distance in Å.
Positions (direct):
1 Mg 0.2500 0.2500 0.0000  4 Mn 2.86, 4 Ag 2.86
2 Mg 0.2500 0.7500 0.0000  4 Mn 2.86, 4 Ag 2.86
3 Mg 0.7500 0.2500 0.0000  4 Mn 2.86, 4 Ag 2.86
4 Mg 0.7500 0.7500 0.0000  4 Ag 2.86, 4 Mn 2.86
5 Mn 0.0000 0.0000 0.5000  8 Mg 2.86
6 Mn 0.5000 0.5000 0.5000  8 Mg 2.86
7 Ag 0.0000 0.5000 0.5000  8 Mg 2.86
8 Ag 0.5000 0.0000 0.5000  8 Mg 2.86

Summary:
Energy relative to the elements   0.0650 eV/atom
Fermi-level density of states   0.63 states/eV per atom
SG   No. 65

# 7
DFT (PBE-GGA) results for Mg2MnAgN after structural relaxation.

Cell: 4.3751 4.3751 3.9047 Å, 90.00 90.00 90.00°
Last column: nearest neighbours and their distance in Å.
Positions (direct):
1 Mg 0.0000 0.5000 0.0000  2 N 2.19
2 Mg 0.5000 0.0000 0.0000  2 N 2.19
3 Mn 0.0000 0.0000 0.5000  2 N 1.95
4 Ag 0.5000 0.5000 0.5000  8 Mg 2.93, 4 Mn 3.09
5 N 0.0000 0.0000 0.0000  2 Mn 1.95

Summary:
Raw formation energy   -258 meV per atom
Fermi-level density of states   0.40 states/eV per atom
SG   No. 123